[1]
This record from Alexandria via LeMat-Bulk describes crystalline CsScTe2Au at its relaxed geometry. The functional is PBE.

Properties
M_tot = 0.68 μB per formula unit
Formation energy (no corrections) = -0.809 eV per atom

Cell lengths 9.1065, 6.0746, 6.8492 Å; angles 90.00, 111.92, 90.00 degrees
Space group P2/c (No. 13)
Symmetry-distinct sites (fractional):
Cs (0.0000, 0.2180, 0.2500) (multiplicity 2)
Sc (0.5000, 0.4982, 0.2500) (multiplicity 2)
Te (0.2680, 0.2915, 0.8836) (multiplicity 4)
Au (0.5000, 0.0000, 0.0000) (multiplicity 2)


[2]
This record from Alexandria via LeMat-Bulk describes crystalline Cs7Au2Se2 at its relaxed geometry. The functional is PBE.

Properties
M_tot = 0.00 μB per formula unit
Formation energy (no corrections) = -0.653 eV per atom

Cell lengths 11.4194, 12.8979, 8.7588 Å; angles 90.00, 90.00, 90.00 degrees
Space group Cmmm (No. 65)
Symmetry-distinct sites (fractional):
Cs (0.0000, 0.0000, 0.0000) (multiplicity 2)
Cs (0.0000, 0.5000, 0.2361) (multiplicity 4)
Cs (0.2500, 0.2500, 0.2477) (multiplicity 8)
Au (0.2461, 0.5000, 0.5000) (multiplicity 4)
Se (0.0000, 0.2759, 0.0000) (multiplicity 4)


[3]
This record from Alexandria via LeMat-Bulk describes crystalline CsAuSe2 at its relaxed geometry. The functional is PBE.

Properties
M_tot = 0.00 μB per formula unit
Formation energy (no corrections) = -0.426 eV per atom

Cell lengths 5.5981, 5.5981, 17.9623 Å; angles 90.00, 90.00, 90.00 degrees
Space group I-42d (No. 122)
Symmetry-distinct sites (fractional):
Cs (0.0000, 0.0000, 0.0000) (multiplicity 4)
Au (0.0000, 0.0000, 0.5000) (multiplicity 4)
Se (0.0322, 0.2500, 0.6250) (multiplicity 8)


[4]
This record from Alexandria via LeMat-Bulk describes crystalline CsAu2Se2 at its relaxed geometry. The functional is PBE.

Properties
M_tot = 0.00 μB per formula unit
Energy relative to the lowest polymorph listed for this composition = 0 meV per atom
Formation energy (no corrections) = -0.431 eV per atom

Cell lengths 4.2429, 5.5623, 7.9377 Å; angles 89.58, 74.62, 89.98 degrees
Space group P-1 (No. 2)
Symmetry-distinct sites (fractional):
Cs (0.0000, 0.0000, 0.0000) (multiplicity 1)
Au (0.1945, 0.5013, 0.6118) (multiplicity 2)
Se (0.3911, 0.4980, 0.2156) (multiplicity 2)


[5]
This record from Alexandria via LeMat-Bulk describes crystalline Cs2AuSe4 at its relaxed geometry. The functional is PBE.

Properties
M_tot = 0.00 μB per formula unit
Formation energy (no corrections) = -0.572 eV per atom

Cell lengths 10.1794, 14.2694, 7.8378 Å; angles 90.00, 90.00, 90.00 degrees
Space group Ibam (No. 72)
Symmetry-distinct sites (fractional):
Cs (0.1906, 0.1315, 0.0000) (multiplicity 8)
Au (0.0000, 0.5000, 0.2500) (multiplicity 4)
Se (0.1007, 0.4045, 0.0000) (multiplicity 8)
Se (0.1705, 0.1276, 0.5000) (multiplicity 8)


[6]
This record from Alexandria via LeMat-Bulk describes crystalline Cs2AuSe at its relaxed geometry. The functional is PBE.

Properties
M_tot = 0.00 μB per formula unit
Energy relative to the lowest polymorph listed for this composition = 0 meV per atom
Formation energy (no corrections) = -0.651 eV per atom

Cell lengths 6.0861, 5.4949, 10.5339 Å; angles 90.00, 90.00, 90.00 degrees
Space group P2_1/m (No. 11)
Symmetry-distinct sites (fractional):
Cs (0.2503, 0.2500, 0.0828) (multiplicity 2)
Cs (0.2496, 0.7500, 0.4164) (multiplicity 2)
Au (0.2505, 0.2500, 0.7485) (multiplicity 2)
Se (0.2499, 0.7500, 0.7486) (multiplicity 2)


[7]
This record from Alexandria via LeMat-Bulk describes crystalline Cs2AuSe2 at its relaxed geometry. The functional is PBE.

Properties
M_tot = 0.00 μB per formula unit
Energy relative to the lowest polymorph listed for this composition = 0 meV per atom
Formation energy (no corrections) = -0.736 eV per atom

Cell lengths 4.1617, 24.5386, 7.5940 Å; angles 90.00, 90.00, 90.00 degrees
Space group Cmc2_1 (No. 36)
Symmetry-distinct sites (fractional):
Cs (0.0000, 0.0426, 0.0000) (multiplicity 4)
Cs (0.0000, 0.1972, 0.7103) (multiplicity 4)
Au (0.0000, 0.3638, 0.8459) (multiplicity 4)
Se (0.0000, 0.1781, 0.1993) (multiplicity 4)
Se (0.0000, 0.4248, 0.1037) (multiplicity 4)


[8]
This record from Alexandria via LeMat-Bulk describes crystalline CsAuSe2 at its relaxed geometry. The functional is PBE.

Properties
M_tot = 2.00 μB per formula unit
Formation energy (no corrections) = 0.262 eV per atom

Cell lengths 7.6748, 7.6748, 7.6748 Å; angles 90.00, 90.00, 90.00 degrees
Space group Fm-3m (No. 225)
Symmetry-distinct sites (fractional):
Cs (0.0000, 0.0000, 0.0000) (multiplicity 4)
Au (0.0000, 0.0000, 0.5000) (multiplicity 4)
Se (0.2500, 0.2500, 0.2500) (multiplicity 8)